The following is a DFT calculation (PBE-GGA) of a relaxed CdW2Cl crystal.

## Properties
* space-group type: Cmm2, No. 35
* density of states at the Fermi level: 1.98 states/eV/cell
* formation energy (no corrections): 0.324 eV/atom
* ΔE to the lowest computed polymorph: 93.1 meV per atom

Lattice parameters (Å, degrees): 2.9205 2.9205 10.0740 90.00 90.00 113.24
Element x y z (fractional)
W1 0.0000 0.0000 0.0122
Cl1 0.5000 0.5000 0.8111
Cd1 0.0000 0.0000 0.4639
W2 0.5000 0.5000 0.2128

***

The following is a DFT calculation (PBE-GGA) of a relaxed TmZnSi2Pt5 crystal.

## Properties
* space-group type: P4/mmm, No. 123
* density of states at the Fermi level: 1.44 states/eV/cell
* formation energy (no corrections): -0.676 eV/atom

Lattice parameters (Å, degrees): 3.9067 3.9067 11.6627 90.00 90.00 90.00
Element x y z (fractional)
Pt1 0.0000 0.5000 0.1831
Pt2 0.5000 0.0000 0.8169
Si1 0.5000 0.5000 0.7003
Pt3 0.5000 0.0000 0.1831
Si2 0.5000 0.5000 0.2997
Zn1 0.0000 0.0000 0.5000
Pt4 0.0000 0.5000 0.8169
Pt5 0.5000 0.5000 0.5000
Tm1 0.0000 0.0000 0.0000

***

The following is a DFT calculation (PBE-GGA) of a relaxed Nb6AlRe crystal.

## Properties
* space-group type: Pm-3, No. 200
* formation energy from the elements: -0.2193 eV per atom
* density of states at the Fermi level: 5.33 states/eV/cell
* ΔE to the lowest computed polymorph: 0.0 meV per atom

Lattice parameters (Å, degrees): 7.3464 7.3465 5.1932 45.01 45.01 59.99
Element x y z (fractional)
Nb1 0.7541 0.9997 0.7460
Nb2 0.2459 0.0003 0.2540
Nb3 0.5001 0.2460 0.2537
Nb4 0.9992 0.4998 0.7468
Nb5 0.0008 0.5002 0.2532
Re1 0.0000 0.0000 0.0000
Nb6 0.4999 0.7540 0.7462
Al1 0.5000 0.5000 0.5000

***

- What is the density of states at the Fermi level in the second record?
  1.44 states/eV/cell

***

Copy entry 1 word for word.
The following is a DFT calculation (PBE-GGA) of a relaxed CdW2Cl crystal.

## Properties
* space-group type: Cmm2, No. 35
* density of states at the Fermi level: 1.98 states/eV/cell
* formation energy (no corrections): 0.324 eV/atom
* ΔE to the lowest computed polymorph: 93.1 meV per atom

Lattice parameters (Å, degrees): 2.9205 2.9205 10.0740 90.00 90.00 113.24
Element x y z (fractional)
W1 0.0000 0.0000 0.0122
Cl1 0.5000 0.5000 0.8111
Cd1 0.0000 0.0000 0.4639
W2 0.5000 0.5000 0.2128